No. 1
The following is a DFT calculation (GGA-PBE) of a geometry-optimized Rb2TbSb2S6 structure.

Results
- total magnetic moment (μB per atom) = 0.000
- N(E_F) (states/eV per cell) = 8.53
- raw formation energy (meV per atom) = -856
- E (eV for the cell shown) = -97.973

a = 12.162 Å, b = 7.452 Å, c = 8.691 Å
α = 90.00°, β = 116.25°, γ = 90.00°
Space group C2/m (No. 12)
Inequivalent atoms, fractional coordinates:
Rb: 0.198 0.000 0.163 x4
Tb: 0.000 0.000 0.500 x2
Sb: 0.057 0.500 0.206 x4
S: 0.053 0.240 0.771 x8
S: 0.239 0.000 0.564 x4

***

No. 2
The following is a DFT calculation (GGA-PBE) of a geometry-optimized Cd12Sn3As5 structure.

Results
- ΔH_f (0 K) (eV/atom) = 0.01
- total magnetic moment (μB per atom) = 0.000
- N(E_F) (states/eV per cell) = 42.24
- E (eV for the cell shown) = -367.958

a = 16.391 Å, b = 16.391 Å, c = 16.391 Å
α = 90.00°, β = 90.00°, γ = 90.00°
Space group Ia-3d (No. 230)
Inequivalent atoms, fractional coordinates:
Cd: 0.027 0.075 0.648 x96
Sn: 0.000 0.250 0.125 x24
As: 0.000 0.000 0.000 x16
As: 0.000 0.250 0.375 x24

***

No. 3
The following is a DFT calculation (GGA-PBE) of a geometry-optimized Ho2ZrPd structure.

Results
- ΔH_f (0 K) (eV/atom) = -0.39
- total magnetic moment (μB per atom) = 0.000
- N(E_F) (states/eV per cell) = 4.70
- E (eV for the cell shown) = -24.466

a = 3.498 Å, b = 3.498 Å, c = 7.835 Å
α = 90.00°, β = 90.00°, γ = 90.00°
Space group P4/mmm (No. 123)
Inequivalent atoms, fractional coordinates:
Ho: 0.000 0.000 0.218 x2
Zr: 0.500 0.500 0.500 x1
Pd: 0.500 0.500 0.000 x1

***

No. 4
The following is a DFT calculation (GGA-PBE) of a geometry-optimized TaZnIrRh structure.

Results
- ΔH_f (0 K) (eV/atom) = -0.58
- total magnetic moment (μB per atom) = 0.000
- N(E_F) (states/eV per cell) = 2.82
- ΔE to the lowest computed polymorph (meV/atom) = 0
- E (eV for the cell shown) = -63.312

a = 4.122 Å, b = 4.122 Å, c = 7.086 Å
α = 90.00°, β = 90.00°, γ = 90.00°
Space group I-4m2 (No. 119)
Inequivalent atoms, fractional coordinates:
Ta: 0.000 0.000 0.000 x2
Zn: 0.000 0.000 0.500 x2
Ir: 0.000 0.500 0.250 x2
Rh: 0.000 0.500 0.750 x2

***

No. 5
The following is a DFT calculation (GGA-PBE) of a geometry-optimized NpTeO6 structure.

Results
- total magnetic moment (μB per atom) = 0.126
- N(E_F) (states/eV per cell) = 11.27
- raw formation energy (meV per atom) = -1542
- E (eV for the cell shown) = -116.339

a = 4.792 Å, b = 4.792 Å, c = 8.240 Å
α = 90.00°, β = 90.00°, γ = 90.00°
Space group P4_2/m (No. 84)
Inequivalent atoms, fractional coordinates:
Np: 0.000 0.000 0.250 x2
Te: 0.500 0.500 0.000 x2
O: 0.214 0.783 0.000 x4
O: 0.279 0.719 0.339 x8

***

No. 6
The following is a DFT calculation (GGA-PBE) of a geometry-optimized TiAl2Au3 structure.

Results
- ΔH_f (0 K) (eV/atom) = -0.38
- total magnetic moment (μB per atom) = 0.000
- N(E_F) (states/eV per cell) = 8.19
- ΔE to the lowest computed polymorph (meV/atom) = 0
- E (eV for the cell shown) = -54.987

a = 4.4301 Å, b = 4.4301 Å, c = 12.0222 Å
α = 90.00°, β = 90.00°, γ = 120.00°
Space group P6_3/mmc (No. 194)
Inequivalent atoms, fractional coordinates:
Ti: 0.0000 0.0000 0.2500 x2
Al: 0.3333 0.6667 0.1051 x4
Au: 0.0000 0.0000 0.0000 x2
Au: 0.3333 0.6667 0.6329 x4

***

No. 7
The following is a DFT calculation (GGA-PBE) of a geometry-optimized Ba2CdRu structure.

Results
- ΔH_f (0 K) (eV/atom) = 0.40
- total magnetic moment (μB per atom) = 0.050
- N(E_F) (states/eV per cell) = 7.39
- E (eV for the cell shown) = -24.905

a = 8.373 Å, b = 3.736 Å, c = 9.211 Å
α = 90.00°, β = 99.31°, γ = 90.00°
Space group C2/m (No. 12)
Inequivalent atoms, fractional coordinates:
Ba: 0.238 0.000 0.199 x4
Cd: 0.000 0.000 0.500 x2
Ru: 0.000 0.500 0.000 x2

***

No. 8
The following is a DFT calculation (GGA-PBE) of a geometry-optimized FePt2Rh8 structure.

Results
- ΔH_f (0 K) (eV/atom) = -0.04
- total magnetic moment (μB per atom) = 0.301
- N(E_F) (states/eV per cell) = 31.57
- E (eV for the cell shown) = -159.491

a = 13.884 Å, b = 3.858 Å, c = 6.087 Å
α = 90.00°, β = 105.29°, γ = 90.00°
Space group C2/m (No. 12)
Inequivalent atoms, fractional coordinates:
Fe: 0.000 0.000 0.000 x2
Pt: 0.226 0.500 0.639 x4
Rh: 0.043 0.500 0.731 x4
Rh: 0.088 0.000 0.449 x4
Rh: 0.133 0.500 0.176 x4
Rh: 0.179 0.000 0.910 x4